No. 1
Ba2TlI2 (PBE-GGA, optimized geometry); crystal system = tetragonal; raw formation energy = -945 meV/atom; density = 5.6 g cm⁻³; volume = 434 Å³/cell; space group = P4/mbm (127)
1.0
9.711 0.000 0.000
0.000 9.711 0.000
0.000 0.000 4.601
I Tl Ba
4 2 4
Cartesian
1.301 6.157 2.300
6.157 8.410 2.300
8.410 3.555 2.300
3.555 1.301 2.300
0.000 0.000 0.000
4.856 4.856 0.000
3.187 8.042 0.000
8.042 6.525 0.000
6.525 1.669 0.000
1.669 3.187 0.000

=====

No. 2
Ba5TlI4 (PBE-GGA, optimized geometry); crystal system = tetragonal; raw formation energy = -1179 meV/atom; density = 5.1 g cm⁻³; volume = 459 Å³/cell; space group = I4/m (87)
1.0
-6.142 -2.154 -2.848
0.745 -2.933 -8.250
-1.745 -8.508 1.338
Ba Tl I
5 1 4
Cartesian
-6.683 -10.001 -4.626
-2.216 -8.267 -6.709
-4.939 -5.332 -3.057
-0.472 -3.598 -5.141
-3.077 -1.079 -1.427
-0.006 -0.002 -0.003
-3.576 -8.731 -3.424
-5.431 -9.137 -7.977
-1.723 -4.461 -1.789
-3.578 -4.868 -6.342

=====

No. 3
Ba4TlI5 (PBE-GGA, optimized geometry); crystal system = monoclinic; raw formation energy = -1369 meV/atom; density = 4.2 g cm⁻³; volume = 545 Å³/cell; space group = C2/m (12)
1.0
1.121 2.823 -3.891
-1.556 -8.135 -6.349
-9.689 6.798 5.271
Ba Tl I
4 1 5
Cartesian
-2.840 2.364 -2.234
-1.193 -6.106 -4.773
-7.284 -0.878 -2.735
-8.931 7.592 -0.196
0.560 1.411 -1.946
-4.584 -5.301 -5.166
-3.809 -1.042 -1.853
-6.315 2.527 -3.117
-0.218 -2.656 -5.120
-5.541 6.787 0.197

=====

No. 4
Ba3TlI2 (PBE-GGA, optimized geometry); crystal system = orthorhombic; raw formation energy = -1049 meV/atom; density = 5.2 g cm⁻³; volume = 278 Å³/cell; space group = Immm (71)
1.0
4.680 0.000 -0.899
-0.492 6.657 -2.561
-0.663 -0.355 9.182
Ba Tl I
3 1 2
Cartesian
2.094 3.328 -1.730
3.084 5.383 3.421
0.442 0.918 2.300
2.340 0.000 -0.450
3.274 1.938 4.407
0.252 4.364 1.314

=====

No. 5
Ba4Tl3I (PBE-GGA, optimized geometry); crystal system = trigonal; raw formation energy = -565 meV/atom; density = 6.6 g cm⁻³; volume = 326 Å³/cell; space group = R-3m (166)
1.0
5.846 0.000 1.726
2.668 5.202 1.726
0.009 0.005 10.736
I Tl Ba
1 3 4
Cartesian
0.000 0.000 0.000
2.079 1.270 3.723
6.444 3.937 10.465
4.262 2.604 7.094
7.456 4.555 7.039
3.216 1.964 10.638
1.068 0.652 7.148
5.308 3.243 3.550

=====

No. 6
BaTl2I2 (PBE-GGA, optimized geometry); crystal system = tetragonal; raw formation energy = -824 meV/atom; density = 6.3 g cm⁻³; volume = 211 Å³/cell; space group = I4/mmm (139)
1.0
-2.676 -0.128 -3.580
-2.655 -2.929 2.089
-8.349 6.450 3.216
I Tl Ba
2 2 1
Cartesian
-3.697 -0.080 -0.026
-9.983 3.474 1.752
-6.845 2.397 -0.555
-6.835 0.997 2.280
0.000 0.000 0.000

=====

No. 7
BaYTlI6 (PBE-GGA, optimized geometry); crystal system = trigonal; raw formation energy = -1354 meV/atom; density = 4.3 g cm⁻³; volume = 913 Å³/cell; space group = P-31c (163)
1.0
8.465 0.000 0.000
-4.233 7.331 0.000
0.000 0.000 14.717
Ba Y Tl I
2 2 2 12
Cartesian
0.000 4.888 3.679
4.233 2.444 11.037
4.233 2.444 3.679
0.000 4.888 11.037
0.000 0.000 0.000
0.000 0.000 7.358
2.958 4.569 1.893
6.711 2.485 1.893
-1.204 7.054 9.251
-2.478 4.847 12.824
1.755 2.485 5.466
5.507 4.569 5.466
1.204 7.054 12.824
5.436 0.277 5.466
-1.274 2.762 9.251
3.029 0.277 1.893
2.478 4.847 9.251
1.274 2.762 12.824

=====

No. 8
BaTlZn2I (PBE-GGA, optimized geometry); crystal system = tetragonal; raw formation energy = 271 meV/atom; density = 4.8 g cm⁻³; volume = 209 Å³/cell; space group = P4/mmm (123)
1.0
-3.336 4.255 1.869
-5.030 -2.692 -2.848
-1.111 -2.964 4.765
I Zn Tl Ba
1 2 1 1
Cartesian
0.000 0.000 0.000
-0.555 -1.482 2.382
-1.668 2.127 0.935
-2.515 -1.346 -1.424
-4.738 -0.701 1.893